DFT (PBE) results for crystalline Dy3B2Pt9Rh at its relaxed geometry.

Summary:
- DOS at the Fermi energy: 7.45 states/eV/cell
- Final energy: -6.6835 eV/atom
- Energy relative to the elements: -758 meV per atom
- Space group: P-3m1, No. 164

a = 5.679 Å, b = 5.679 Å, c = 9.491 Å
α = 90.00°, β = 90.00°, γ = 120.00°
Fractional coordinates of all 15 atoms:
Dy1 0.000 0.000 0.000
Dy2 0.333 0.667 0.594
Dy3 0.667 0.333 0.406
B1 0.333 0.667 0.147
B2 0.667 0.333 0.853
Pt1 0.000 0.500 0.000
Pt2 0.162 0.324 0.277
Pt3 0.162 0.838 0.277
Pt4 0.324 0.162 0.723
Pt5 0.500 0.000 0.000
Pt6 0.500 0.500 0.000
Pt7 0.676 0.838 0.277
Pt8 0.838 0.162 0.723
Pt9 0.838 0.676 0.723
Rh1 0.000 0.000 0.500